No. 1
First-principles (GGA-PBE) data for Ce3Cr5Te12 after structural relaxation, as listed in Alexandria via LeMat-Bulk.

a = 14.717 Å, b = 14.717 Å, c = 14.717 Å
α = 109.47°, β = 109.47°, γ = 109.47°
Last column: magnetic moment on the atom in μB.
Sites, in units of the cell vectors:
1 Ce 0.750 0.375 0.125  0.77
2 Ce 0.875 0.750 0.125  0.77
3 Ce 0.375 0.750 0.625  0.77
4 Ce 0.250 0.125 0.375  0.77
5 Ce 0.875 0.125 0.250  0.77
6 Ce 0.375 0.625 0.250  0.77
7 Ce 0.625 0.375 0.750  0.77
8 Ce 0.125 0.875 0.750  0.77
9 Ce 0.750 0.875 0.625  0.77
10 Ce 0.625 0.250 0.375  0.77
11 Ce 0.125 0.250 0.875  0.77
12 Ce 0.250 0.625 0.875  0.77
13 Cr 0.125 0.375 0.250  3.22
14 Cr 0.000 0.500 0.000  3.20
15 Cr 0.000 0.000 0.000  3.20
16 Cr 0.375 0.250 0.125  3.22
17 Cr 0.500 0.000 0.500  3.20
18 Cr 0.500 0.500 0.000  3.20
19 Cr 0.125 0.750 0.375  3.22
20 Cr 0.750 0.125 0.875  3.22
21 Cr 0.750 0.625 0.375  3.22
22 Cr 0.375 0.125 0.750  3.22
23 Cr 0.625 0.875 0.250  3.22
24 Cr 0.500 0.500 0.500  3.20
25 Cr 0.500 0.000 0.000  3.20
26 Cr 0.000 0.000 0.500  3.20
27 Cr 0.250 0.375 0.625  3.22
28 Cr 0.250 0.875 0.125  3.22
29 Cr 0.000 0.500 0.500  3.20
30 Cr 0.875 0.250 0.625  3.22
31 Cr 0.625 0.750 0.875  3.22
32 Cr 0.875 0.625 0.750  3.22
33 Te 0.708 0.119 0.033  -0.14
34 Te 0.324 0.533 0.413  -0.14
35 Te 0.967 0.381 0.292  -0.14
36 Te 0.533 0.208 0.119  -0.14
37 Te 0.589 0.708 0.676  -0.14
38 Te 0.967 0.587 0.176  -0.14
39 Te 0.324 0.792 0.411  -0.14
40 Te 0.087 0.911 0.119  -0.14
41 Te 0.587 0.967 0.676  -0.14
42 Te 0.708 0.589 0.176  -0.14
43 Te 0.792 0.467 0.381  -0.14
44 Te 0.824 0.913 0.033  -0.14
45 Te 0.119 0.708 0.533  -0.14
46 Te 0.381 0.413 0.089  -0.14
47 Te 0.089 0.913 0.381  -0.14
48 Te 0.411 0.119 0.587  -0.14
49 Te 0.089 0.176 0.208  -0.14
50 Te 0.467 0.676 0.087  -0.14
51 Te 0.824 0.911 0.292  -0.14
52 Te 0.119 0.411 0.087  -0.14
53 Te 0.381 0.967 0.792  -0.14
54 Te 0.587 0.619 0.411  -0.14
55 Te 0.913 0.824 0.533  -0.14
56 Te 0.792 0.324 0.911  -0.14
57 Te 0.413 0.381 0.589  -0.14
58 Te 0.087 0.176 0.467  -0.14
59 Te 0.208 0.676 0.089  -0.14
60 Te 0.176 0.089 0.708  -0.14
61 Te 0.619 0.033 0.208  -0.14
62 Te 0.881 0.589 0.913  -0.14
63 Te 0.533 0.324 0.913  -0.14
64 Te 0.589 0.881 0.413  -0.14
65 Te 0.911 0.824 0.792  -0.14
66 Te 0.911 0.087 0.619  -0.14
67 Te 0.881 0.292 0.467  -0.14
68 Te 0.176 0.087 0.967  -0.14
69 Te 0.619 0.587 0.911  -0.14
70 Te 0.413 0.033 0.324  -0.14
71 Te 0.292 0.411 0.824  -0.14
72 Te 0.208 0.533 0.619  -0.14
73 Te 0.913 0.089 0.881  -0.14
74 Te 0.676 0.208 0.589  -0.14
75 Te 0.467 0.792 0.881  -0.14
76 Te 0.033 0.413 0.824  -0.14
77 Te 0.411 0.292 0.324  -0.14
78 Te 0.033 0.619 0.708  -0.14
79 Te 0.676 0.467 0.587  -0.14
80 Te 0.292 0.881 0.967  -0.14

Output
Crystal system   cubic
Uncorrected energy   -5.697 eV/atom
Uncorrected formation energy   -0.516 eV per atom

No. 2
First-principles (GGA-PBE) data for CeTi2Cr after structural relaxation, as listed in Alexandria via LeMat-Bulk.

a = 2.933 Å, b = 2.933 Å, c = 9.612 Å
α = 81.23°, β = 81.23°, γ = 60.00°
Sites, in units of the cell vectors:
1 Cr 0.500 0.500 0.500
2 Ce 0.000 0.000 0.000
3 Ti 0.102 0.102 0.695
4 Ti 0.898 0.898 0.305

Output
Crystal system   trigonal
Excess energy over the best structure of this formula in the dataset   13.2 kJ per mole of atoms
DFT formation energy   0.24 eV per atom
Uncorrected energy   -7.601 eV/atom

No. 3
First-principles (GGA-PBE) data for CeTi2Cr after structural relaxation, as listed in Alexandria via LeMat-Bulk.

a = 3.052 Å, b = 3.052 Å, c = 7.806 Å
α = 90.00°, β = 90.00°, γ = 90.00°
Sites, in units of the cell vectors:
1 Cr 0.500 0.500 0.000
2 Ce 0.500 0.500 0.500
3 Ti 0.000 0.000 0.817
4 Ti 0.000 0.000 0.183

Output
Crystal system   tetragonal
Excess energy over the best structure of this formula in the dataset   0.0 kJ per mole of atoms
DFT formation energy   0.10 eV per atom
Uncorrected energy   -7.738 eV/atom

No. 4
First-principles (GGA-PBE) data for Ce6Tl2Cr after structural relaxation, as listed in Alexandria via LeMat-Bulk.

a = 6.966 Å, b = 6.859 Å, c = 9.840 Å
α = 90.00°, β = 90.00°, γ = 90.00°
Sites, in units of the cell vectors:
1 Ce 0.000 0.000 0.255
2 Ce 0.738 0.714 0.500
3 Ce 0.762 0.786 0.000
4 Ce 0.738 0.286 0.500
5 Ce 0.762 0.214 0.000
6 Ce 0.500 0.500 0.245
7 Ce 0.000 0.000 0.745
8 Ce 0.262 0.286 0.500
9 Ce 0.238 0.214 0.000
10 Ce 0.262 0.714 0.500
11 Ce 0.238 0.786 0.000
12 Ce 0.500 0.500 0.755
13 Tl 0.000 0.500 0.760
14 Tl 0.500 0.000 0.740
15 Tl 0.500 0.000 0.260
16 Tl 0.000 0.500 0.240
17 Cr 0.500 0.500 0.000
18 Cr 0.000 0.000 0.500

Output
Crystal system   orthorhombic
DFT formation energy   -0.04 eV per atom
Uncorrected energy   -5.587 eV/atom